VASP calculation (GGA-PBE) on a relaxed DyTlZn crystal.

Calculated values
* ΔH_f (0 K): -27 kJ/mol of atoms
* electronic total energy: -3.03 eV/atom
* calculated volume: 69.9 Å³ per cell
* N(E_F): 1.58 states/eV per cell

a = 4.7044 Å, b = 4.7044 Å, c = 3.6495 Å
α = 90.00°, β = 90.00°, γ = 120.00°
Closest atoms and distances in Å follow each position.
Space group P3m1 (No. 156)
Inequivalent atoms, fractional coordinates:
1 Dy 0.0000 0.0000 0.0000 [1 per cell]  6 Zn 3.27, 6 Tl 3.27, 2 Dy 3.65
2 Tl 0.6667 0.3333 0.4989 [1 per cell]  3 Zn 2.72
3 Zn 0.3333 0.6667 0.5013 [1 per cell]  3 Tl 2.72

***

VASP calculation (GGA-PBE) on a relaxed Dy12Tl5Zn2 crystal.

Calculated values
* ΔH_f (0 K): -14 kJ/mol of atoms
* electronic total energy: -3.81 eV/atom
* calculated volume: 1093.4 Å³ per cell
* N(E_F): 41.77 states/eV per cell

a = 17.1269 Å, b = 7.1233 Å, c = 9.0290 Å
α = 90.00°, β = 96.95°, γ = 90.00°
Closest atoms and distances in Å follow each position.
Space group C2/m (No. 12)
Inequivalent atoms, fractional coordinates:
1 Dy 0.0045 0.0000 0.1951 [4 per cell]  2 Zn 3.01
2 Dy 0.0340 0.5000 0.6819 [4 per cell]  2 Zn 2.90, 1 Tl 3.00
3 Dy 0.1512 0.2467 0.0143 [8 per cell]  4 Tl 3.15-3.39, 2 Dy 3.43-3.51
4 Dy 0.1558 0.2550 0.4292 [8 per cell]  1 Zn 2.88
5 Tl 0.0000 0.5000 0.0000 [2 per cell]  6 Dy 3.00-3.15
6 Tl 0.2004 0.0000 0.7372 [4 per cell]  7 Dy 3.25-3.63, 2 Tl 3.59
7 Tl 0.2256 0.5000 0.7463 [4 per cell]  9 Dy 3.26-3.44, 2 Tl 3.59
8 Zn 0.0000 0.1684 0.5000 [4 per cell]  1 Zn 2.40

***

VASP calculation (GGA-PBE) on a relaxed Dy11Tl9Zn4 crystal.

Calculated values
* ΔH_f (0 K): -31 kJ/mol of atoms
* electronic total energy: -3.53 eV/atom
* calculated volume: 1229.4 Å³ per cell
* N(E_F): 40.18 states/eV per cell

a = 14.7103 Å, b = 22.1302 Å, c = 3.7766 Å
α = 90.00°, β = 90.00°, γ = 90.00°
Closest atoms and distances in Å follow each position.
Space group Cmmm (No. 65)
Inequivalent atoms, fractional coordinates:
1 Dy 0.0000 0.0000 0.0000 [2 per cell]  8 Tl 3.24, 2 Dy 3.62
2 Dy 0.0000 0.1636 0.0000 [4 per cell]  8 Tl 3.28-3.40, 3 Dy 3.60-3.62
3 Dy 0.0000 0.3659 0.0000 [4 per cell]  4 Zn 2.98
4 Dy 0.2032 0.5000 0.0000 [4 per cell]  4 Zn 2.98
5 Dy 0.2446 0.1702 0.0000 [8 per cell]  2 Zn 2.96, 4 Tl 3.22-3.24
6 Tl 0.0000 0.5000 0.5000 [2 per cell]  4 Zn 3.05
7 Tl 0.1109 0.2595 0.5000 [8 per cell]  1 Zn 3.21, 8 Dy 3.24-3.43, 1 Tl 3.26
8 Tl 0.1388 0.0755 0.5000 [8 per cell]  1 Zn 3.20, 8 Dy 3.22-3.43, 1 Tl 3.34
9 Zn 0.1464 0.4027 0.5000 [8 per cell]  6 Dy 2.96-2.98, 3 Tl 3.05-3.21